Record 1
The following is a meta-GGA SCAN calculation of a crystal of CaPb3N relaxed with PBEsol, from the Alexandria database.

Calculated values
Its spin magnetization is 0.66 μB per formula unit. The value obtained for the uncorrected formation energy is 0.29 eV/atom. Its space group is Pm-3m, No. 221. As for the crystal system: cubic. As for the volume: 25.45 A^3/atom. The final energy is -244.83 eV per cell.

Geometry as CIF:
```
data_CaPb3N
_chemical_formula_sum 'Ca1 Pb3 N1'
_cell_length_a 5.0299
_cell_length_b 5.0299
_cell_length_c 5.0299
_cell_angle_alpha 90.00
_cell_angle_beta 90.00
_cell_angle_gamma 90.00
_symmetry_space_group_name_H-M 'P 1'
_symmetry_Int_Tables_number 1
loop_
_symmetry_equiv_pos_as_xyz
'x,y,z'
loop_
_atom_site_label
_atom_site_fract_x
_atom_site_fract_y
_atom_site_fract_z
Ca1 0.0000 0.0000 0.0000
Pb1 0.0000 0.5000 0.5000
Pb2 0.5000 0.0000 0.5000
Pb3 0.5000 0.5000 0.0000
N1 0.5000 0.5000 0.5000
```


Record 2
The following is a meta-GGA SCAN calculation of a crystal of RbCu2HgSb relaxed with PBEsol, from the Alexandria database.

Calculated values
Its spin magnetization is 0.00 μB per formula unit. The value obtained for the uncorrected formation energy is 0.46 eV/atom. Its space group is P4/mmm, No. 123. As for the crystal system: tetragonal. As for the volume: 27.65 A^3/atom. The final energy is -154.28 eV per cell.

Geometry as CIF:
```
data_RbCu2HgSb
_chemical_formula_sum 'Rb1 Cu2 Hg1 Sb1'
_cell_length_a 5.0275
_cell_length_b 5.0275
_cell_length_c 5.4705
_cell_angle_alpha 90.00
_cell_angle_beta 90.00
_cell_angle_gamma 90.00
_symmetry_space_group_name_H-M 'P 1'
_symmetry_Int_Tables_number 1
loop_
_symmetry_equiv_pos_as_xyz
'x,y,z'
loop_
_atom_site_label
_atom_site_fract_x
_atom_site_fract_y
_atom_site_fract_z
Rb1 0.0000 0.0000 0.0000
Cu1 0.0000 0.5000 0.5000
Cu2 0.5000 0.0000 0.5000
Hg1 0.5000 0.5000 0.5000
Sb1 0.5000 0.5000 0.0000
```


What is the formula in the second record? RbCu2HgSb